5
Lattice="3.4675 0.0000 0.0000 0.0000 3.4675 0.0000 0.0000 0.0000 3.8722" Properties=species:S:1:pos:R:3 comment="FeSN2O, relaxed, DFT PBE with a Hubbard U" final_energy_ev_per_cell=-25.71 m_tot_mub_per_fu=4.431 sg="P4/mmm, No. 123" crystal_system=tetragonal pbc="T T T"
Fe 0.0000 0.0000 0.0000
S 1.7337 1.7337 1.9361
N 0.0000 1.7337 1.9361
N 1.7337 0.0000 1.9361
O 1.7337 1.7337 0.0000